Ta2Be2SiRu5, optimized geometry, DFT PBE-GGA; formation energy from raw total energies = -516.1 meV per atom; space group = P4/mbm
1.0
-2.637 -1.556 0.034
4.460 -7.492 3.143
-1.514 2.756 8.718
Ta Be Si Ru
4 4 2 10
direct
0.000 0.674 0.174
0.000 0.326 0.826
0.000 0.174 0.326
0.000 0.826 0.674
0.000 0.125 0.625
0.000 0.875 0.375
0.000 0.625 0.875
0.000 0.375 0.125
0.000 0.000 0.000
0.000 0.500 0.500
0.500 0.204 0.069
0.500 0.796 0.931
0.500 0.069 0.796
0.500 0.704 0.431
0.500 0.931 0.204
0.500 0.296 0.569
0.500 0.569 0.704
0.500 0.431 0.296
0.500 0.500 0.000
0.500 0.000 0.500